1.
This record from the Alexandria database describes CsN2F2 after structural relaxation. The functional is PBE-GGA.

```
CsN2F2
1.0
7.401 0.000 0.000
0.000 7.401 0.000
0.000 0.000 8.207
Cs N F
4 8 8
Direct
0.500 0.500 0.250
0.000 0.000 0.750
0.500 0.500 0.750
0.000 0.000 0.250
0.447 0.947 0.250
0.553 0.053 0.250
0.053 0.447 0.750
0.947 0.553 0.750
0.947 0.553 0.250
0.053 0.447 0.250
0.447 0.947 0.750
0.553 0.053 0.750
0.730 0.770 0.500
0.270 0.230 0.500
0.770 0.270 0.000
0.230 0.730 0.000
0.770 0.270 0.500
0.230 0.730 0.500
0.270 0.230 0.000
0.730 0.770 0.000
```

Energy above the most stable polymorph in this dataset ... 0.0 meV/atom
Formation energy (no corrections) ... -0.93 eV/atom
SG ... P4/mbm
Total DFT energy (no corrections) ... -5.184 eV/atom

2.
This record from the Alexandria database describes Rb4CrS4 after structural relaxation. The functional is PBE-GGA.

```
Rb4CrS4
1.0
-6.141 -3.408 -0.876
4.475 -7.101 -3.742
0.923 -3.800 8.316
Rb Cr S
8 2 8
Direct
0.352 0.277 0.000
0.852 0.500 0.777
0.352 0.723 0.000
0.148 0.223 0.500
0.648 0.000 0.723
0.148 0.777 0.500
0.852 0.500 0.223
0.648 0.000 0.277
0.000 0.000 0.000
0.500 0.500 0.500
0.674 0.700 0.500
0.674 0.300 0.500
0.174 0.000 0.800
0.826 0.200 0.000
0.826 0.800 0.000
0.326 0.500 0.300
0.326 0.500 0.700
0.174 0.000 0.200
```

Energy above the most stable polymorph in this dataset ... 0.0 meV/atom
Formation energy (no corrections) ... -1.02 eV/atom
SG ... P4_2/nmc
Total DFT energy (no corrections) ... -4.350 eV/atom

3.
This record from the Alexandria database describes YTh2Fe after structural relaxation. The functional is PBE-GGA.

```
YTh2Fe
1.0
-1.406 0.146 -3.517
1.936 -1.524 -2.880
-4.012 -8.326 -0.784
Y Fe Th
1 1 2
Direct
0.500 0.500 0.500
0.000 0.000 0.000
0.275 0.275 0.174
0.725 0.725 0.826
```

Energy above the most stable polymorph in this dataset ... 88.7 meV/atom
DFT formation energy ... 25 meV/atom
SG ... R-3m
Total DFT energy (no corrections) ... -7.416 eV/atom